Entry 1:
This record from Alexandria describes an optimized crystal structure of Ac2Sm2Te5. The functional is PBE.

The structure belongs to space group C2/m (No. 12); the cell edges are 17.1846, 6.1012 and 6.5293 Å and the angles 90.00°, 110.49° and 90.00°. The inequivalent atoms are Ac at (0.1003, 0.0000, 0.3259), Sm at (0.1704, 0.5000, 0.9480), Te at (0.0000, 0.5000, 0.0000), Te at (0.1301, 0.0000, 0.8542) and Te at (0.1892, 0.5000, 0.4790).

The total magnetic moment comes out at 0.00 μB per formula unit. For the calculated total energy, the calculation gives -45.5 eV/f.u. The value obtained for the density is 7.213 Mg/m³.



Entry 2:
This record from Alexandria describes an optimized crystal structure of AcSmTe6. The functional is PBE.

The structure belongs to space group Amm2 (No. 38); the cell edges are 4.4379, 4.4372 and 27.9052 Å and the angles 90.00°, 90.00° and 90.00°. The inequivalent atoms are Ac at (0.0000, 0.0000, 0.0000), Sm at (0.5000, 0.0000, 0.3431), Te at (0.0000, 0.0000, 0.2521), Te at (0.0000, 0.0000, 0.5983), Te at (0.0000, 0.0000, 0.8759), Te at (0.5000, 0.0000, 0.0983), Te at (0.5000, 0.0000, 0.4613) and Te at (0.5000, 0.0000, 0.7521).

The total magnetic moment comes out at 0.00 μB per formula unit. For the calculated total energy, the calculation gives -35.7 eV/f.u. The value obtained for the density is 6.908 Mg/m³.



Entry 3:
This record from Alexandria describes an optimized crystal structure of AcSmTe. The functional is PBE.

The structure belongs to space group P4/nmm (No. 129, origin choice 2); the cell edges are 4.7043, 4.7043 and 9.1730 Å and the angles 90.00°, 90.00° and 90.00°. The inequivalent atoms are Ac at (0.2500, 0.2500, 0.1432), Sm at (0.2500, 0.7500, 0.5000) and Te at (0.2500, 0.2500, 0.7560).

The total magnetic moment comes out at 0.00 μB per formula unit. Its offset from the most stable computed form is 0.000 eV/atom. The value obtained for the density is 8.261 Mg/m³.



Entry 4:
This record from Alexandria describes an optimized crystal structure of AcSm3Te4. The functional is PBE.

The structure belongs to space group P6_3/mmc (No. 194); the cell edges are 4.4438, 4.4438 and 30.5162 Å and the angles 90.00°, 90.00° and 120.00°. The inequivalent atoms are Ac at (0.3333, 0.6667, 0.2500), Sm at (0.0000, 0.0000, 0.0000), Sm at (0.3333, 0.6667, 0.6188), Te at (0.0000, 0.0000, 0.1791) and Te at (0.3333, 0.6667, 0.0596).

The total magnetic moment comes out at 0.00 μB per formula unit. Its offset from the most stable computed form is 0.000 eV/atom. The value obtained for the density is 7.563 Mg/m³.



Entry 5:
This record from Alexandria describes an optimized crystal structure of AcSm5Te6. The functional is PBE.

The structure belongs to space group C2/m (No. 12); the cell edges are 7.7763, 13.5076 and 7.7797 Å and the angles 90.00°, 109.62° and 90.00°. The inequivalent atoms are Ac at (0.0000, 0.0000, 0.0000), Sm at (0.0000, 0.1571, 0.5000), Sm at (0.0000, 0.3321, 0.0000), Sm at (0.0000, 0.5000, 0.5000), Te at (0.2367, 0.5000, 0.2492) and Te at (0.2406, 0.3272, 0.7403).

The total magnetic moment comes out at 0.00 μB per formula unit. For the calculated total energy, the calculation gives -63.3 eV/f.u. The value obtained for the density is 7.526 Mg/m³.



Entry 6:
This record from Alexandria describes an optimized crystal structure of AcSmTe. The functional is PBE.

The structure belongs to space group I4mm (No. 107); the cell edges are 4.0624, 4.0624 and 12.7998 Å and the angles 90.00°, 90.00° and 90.00°. The inequivalent atoms are Ac at (0.0000, 0.0000, 0.0000), Sm at (0.0000, 0.0000, 0.2986) and Te at (0.0000, 0.0000, 0.6766).

The total magnetic moment comes out at 0.00 μB per formula unit. Its offset from the most stable computed form is 0.112 eV/atom. The value obtained for the density is 7.939 Mg/m³.